This record from Alexandria describes crystalline K2NiI5 at its relaxed geometry. The functional is PBE.

Cell lengths 8.3341, 8.3341, 9.5299 Å; angles 90.00, 90.00, 90.00 degrees
With the nearest neighbours (Å) after each atom.
Space group I4mm (No. 107)
Asymmetric unit:
K 0.0000 0.5000 0.0000 [4 per cell]  10 I 3.79-4.21
Ni 0.0000 0.0000 0.2863 [2 per cell]  5 I 2.60-2.63
I 0.0000 0.0000 0.5621 [2 per cell]  1 Ni 2.63
I 0.2186 0.2186 0.2467 [8 per cell]  1 Ni 2.60

Results
energy relative to the elements, uncorrected = -0.739 eV/atom